Entry 1:
GGA-PBE Ce2MnGa3Ir4, relaxed; ΔH_f (0 K) = -0.597 eV per atom; space-group type = P-4m2 (115); calculated volume = 18.50 A^3/atom
1.0
4.149 0.000 0.000
0.000 4.149 0.000
0.000 0.000 10.746
Ce Mn Ga Ir
2 1 3 4
direct
0.000 0.500 0.242 Ce
0.500 0.000 0.758 Ce
0.000 0.000 0.500 Mn
0.000 0.500 0.872 Ga
0.500 0.000 0.128 Ga
0.500 0.500 0.500 Ga
0.000 0.000 0.000 Ir
0.000 0.500 0.641 Ir
0.500 0.000 0.359 Ir
0.500 0.500 0.000 Ir

=====

Entry 2:
GGA-PBE Tb2PrDy6Sc, relaxed; ΔH_f (0 K) = 0.127 eV per atom; space-group type = C2/c (15); calculated volume = 31.66 A^3/atom
1.0
4.553 -7.444 0.000
4.553 7.444 0.000
-1.080 0.000 9.343
Tb Pr Dy Sc
4 2 12 2
direct
0.193 0.296 0.451 Tb
0.296 0.193 0.951 Tb
0.704 0.807 0.049 Tb
0.807 0.704 0.549 Tb
0.476 0.524 0.750 Pr
0.524 0.476 0.250 Pr
0.011 0.793 0.886 Dy
0.061 0.504 0.689 Dy
0.207 0.989 0.614 Dy
0.252 0.626 0.056 Dy
0.374 0.748 0.444 Dy
0.496 0.939 0.811 Dy
0.504 0.061 0.189 Dy
0.626 0.252 0.556 Dy
0.748 0.374 0.944 Dy
0.793 0.011 0.386 Dy
0.939 0.496 0.311 Dy
0.989 0.207 0.114 Dy
0.086 0.914 0.250 Sc
0.914 0.086 0.750 Sc

=====

Entry 3:
GGA-PBE CaSc5Pd6, relaxed; ΔH_f (0 K) = -0.856 eV per atom; space-group type = Cmmm (65); calculated volume = 18.67 A^3/atom
1.0
2.372 -7.153 0.000
2.372 7.153 0.000
0.000 0.000 6.601
Ca Sc Pd
1 5 6
direct
0.000 0.000 0.000 Ca
0.000 0.000 0.500 Sc
0.333 0.667 0.000 Sc
0.334 0.666 0.500 Sc
0.666 0.334 0.500 Sc
0.667 0.333 0.000 Sc
0.175 0.825 0.256 Pd
0.175 0.825 0.744 Pd
0.500 0.500 0.269 Pd
0.500 0.500 0.731 Pd
0.825 0.175 0.256 Pd
0.825 0.175 0.744 Pd

=====

Entry 4:
GGA-PBE NaBi3Ru, relaxed; ΔH_f (0 K) = 1.345 eV per atom; space-group type = Pm-3m (221); offset from the most stable computed form = 1073.4 meV per atom; calculated volume = 30.88 A^3/atom
1.0
5.365 0.000 0.000
0.000 5.365 0.000
0.000 0.000 5.365
Na Bi Ru
1 3 1
direct
0.000 0.000 0.000 Na
0.000 0.000 0.500 Bi
0.000 0.500 0.000 Bi
0.500 0.000 0.000 Bi
0.500 0.500 0.500 Ru

=====

Entry 5:
GGA-PBE BaCaLaBiO6, relaxed; space-group type = P-1 (2); formation energy (no corrections) = -2350 meV per atom; offset from the most stable computed form = 0.0 meV per atom; calculated volume = 16.54 A^3/atom
1.0
6.079 0.000 0.000
0.033 6.199 0.000
0.024 0.031 8.776
Ba Ca La Bi O
2 2 2 2 12
direct
0.009 0.460 0.249 Ba
0.991 0.540 0.751 Ba
0.499 0.967 0.254 Ca
0.501 0.033 0.746 Ca
0.000 0.000 0.000 La
0.500 0.500 0.500 La
0.000 0.000 0.500 Bi
0.500 0.500 0.000 Bi
0.115 0.990 0.735 O
0.184 0.712 0.464 O
0.206 0.684 0.024 O
0.292 0.179 0.436 O
0.327 0.206 0.069 O
0.431 0.421 0.765 O
0.569 0.579 0.235 O
0.673 0.794 0.931 O
0.708 0.821 0.564 O
0.794 0.316 0.976 O
0.816 0.288 0.536 O
0.885 0.010 0.265 O

=====

Entry 6:
GGA-PBE KTlCd2Co, relaxed; ΔH_f (0 K) = 0.075 eV per atom; space-group type = P4/mmm (123); calculated volume = 26.92 A^3/atom
1.0
5.156 0.000 0.000
0.000 5.156 0.000
0.000 0.000 5.063
K Tl Cd Co
1 1 2 1
direct
0.000 0.000 0.000 K
0.500 0.500 0.000 Tl
0.000 0.500 0.500 Cd
0.500 0.000 0.500 Cd
0.500 0.500 0.500 Co

=====

Entry 7:
GGA-PBE TbNd3Sm7, relaxed; ΔH_f (0 K) = 0.239 eV per atom; space-group type = Immm (71); offset from the most stable computed form = 11.7 meV per atom; calculated volume = 34.95 A^3/atom
1.0
-2.976 5.678 5.686
2.976 -5.678 5.686
2.976 5.678 -5.686
Tb Nd Sm
1 3 7
direct
0.000 0.000 0.000 Tb
0.290 0.500 0.790 Nd
0.500 0.000 0.500 Nd
0.710 0.500 0.210 Nd
0.000 0.500 0.500 Sm
0.097 0.800 0.297 Sm
0.292 0.292 0.000 Sm
0.497 0.200 0.297 Sm
0.503 0.800 0.703 Sm
0.708 0.708 0.000 Sm
0.903 0.200 0.703 Sm

=====

Entry 8:
GGA-PBE LiCa2InP, relaxed; ΔH_f (0 K) = 0.257 eV per atom; space-group type = P4/mmm (123); offset from the most stable computed form = 792.1 meV per atom; calculated volume = 32.28 A^3/atom
1.0
5.775 0.000 0.000
0.000 5.775 0.000
0.000 0.000 4.839
Li Ca In P
1 2 1 1
direct
0.000 0.000 0.000 Li
0.000 0.500 0.500 Ca
0.500 0.000 0.500 Ca
0.000 0.000 0.500 In
0.500 0.500 0.000 P

=====

Question: The lowest calculated volume belongs to which entry?
Answer: BaCaLaBiO6